Entry 1:
# GGA-PBE La2SnHgIr, optimized geometry
# Energy of formation = -488 meV/atom
# Polymorph energy (0 for the lowest one) = 175 meV per atom
data_La2SnHgIr
_symmetry_space_group_name_H-M 'P 4/m m m'
_symmetry_Int_Tables_number 123
_symmetry_space_group_name_Hall '-P 4 2'
_cell_length_a 5.589
_cell_length_b 5.589
_cell_length_c 5.089
_cell_angle_alpha 90.00
_cell_angle_beta 90.00
_cell_angle_gamma 90.00
loop_
_atom_site_label
_atom_site_type_symbol
_atom_site_fract_x
_atom_site_fract_y
_atom_site_fract_z
_atom_site_occupancy
La1 La 0.000 0.500 0.000 1
Sn1 Sn 0.000 0.000 0.500 1
Hg1 Hg 0.500 0.500 0.500 1
Ir1 Ir 0.000 0.000 0.000 1



Entry 2:
# GGA-PBE SrLa2HgIr, optimized geometry
# Energy of formation = -308 meV/atom
# Polymorph energy (0 for the lowest one) = 64 meV per atom
data_SrLa2HgIr
_symmetry_space_group_name_H-M 'P 4/m m m'
_symmetry_Int_Tables_number 123
_symmetry_space_group_name_Hall '-P 4 2'
_cell_length_a 5.559
_cell_length_b 5.559
_cell_length_c 5.520
_cell_angle_alpha 90.00
_cell_angle_beta 90.00
_cell_angle_gamma 90.00
loop_
_atom_site_label
_atom_site_type_symbol
_atom_site_fract_x
_atom_site_fract_y
_atom_site_fract_z
_atom_site_occupancy
Sr1 Sr 0.000 0.000 0.000 1
La1 La 0.000 0.500 0.500 1
Hg1 Hg 0.500 0.500 0.000 1
Ir1 Ir 0.500 0.500 0.500 1



Entry 3:
# GGA-PBE SrLaHgIr, optimized geometry
# Energy of formation = -366 meV/atom
data_SrLaHgIr
_symmetry_space_group_name_H-M 'F -4 3 m'
_symmetry_Int_Tables_number 216
_symmetry_space_group_name_Hall 'F -4 2 3'
_cell_length_a 7.489
_cell_length_b 7.489
_cell_length_c 7.489
_cell_angle_alpha 90.00
_cell_angle_beta 90.00
_cell_angle_gamma 90.00
loop_
_atom_site_label
_atom_site_type_symbol
_atom_site_fract_x
_atom_site_fract_y
_atom_site_fract_z
_atom_site_occupancy
Sr1 Sr 0.000 0.000 0.000 1
La1 La 0.000 0.000 0.500 1
Hg1 Hg 0.250 0.250 0.750 1
Ir1 Ir 0.250 0.250 0.250 1



Entry 4:
# GGA-PBE Sr2LaHgIr, optimized geometry
# Energy of formation = -318 meV/atom
data_Sr2LaHgIr
_symmetry_space_group_name_H-M 'P 4/m m m'
_symmetry_Int_Tables_number 123
_symmetry_space_group_name_Hall '-P 4 2'
_cell_length_a 5.925
_cell_length_b 5.925
_cell_length_c 5.416
_cell_angle_alpha 90.00
_cell_angle_beta 90.00
_cell_angle_gamma 90.00
loop_
_atom_site_label
_atom_site_type_symbol
_atom_site_fract_x
_atom_site_fract_y
_atom_site_fract_z
_atom_site_occupancy
Sr1 Sr 0.000 0.500 0.000 1
La1 La 0.000 0.000 0.500 1
Hg1 Hg 0.500 0.500 0.500 1
Ir1 Ir 0.000 0.000 0.000 1



Entry 5:
# GGA-PBE SrLa2HgIr, optimized geometry
# Energy of formation = -372 meV/atom
# Polymorph energy (0 for the lowest one) = 0 meV per atom
data_SrLa2HgIr
_symmetry_space_group_name_H-M 'P 4/m m m'
_symmetry_Int_Tables_number 123
_symmetry_space_group_name_Hall '-P 4 2'
_cell_length_a 5.521
_cell_length_b 5.521
_cell_length_c 6.015
_cell_angle_alpha 90.00
_cell_angle_beta 90.00
_cell_angle_gamma 90.00
loop_
_atom_site_label
_atom_site_type_symbol
_atom_site_fract_x
_atom_site_fract_y
_atom_site_fract_z
_atom_site_occupancy
Sr1 Sr 0.000 0.000 0.000 1
La1 La 0.000 0.500 0.500 1
Hg1 Hg 0.500 0.500 0.000 1
Ir1 Ir 0.000 0.000 0.500 1



Entry 6:
# GGA-PBE LaThHgIr, optimized geometry
# Energy of formation = -644 meV/atom
data_LaThHgIr
_symmetry_space_group_name_H-M 'R 3 m'
_symmetry_Int_Tables_number 160
_symmetry_space_group_name_Hall 'R 3 -2"'
_cell_length_a 4.1935
_cell_length_b 4.1935
_cell_length_c 23.4840
_cell_angle_alpha 90.00
_cell_angle_beta 90.00
_cell_angle_gamma 120.00
loop_
_atom_site_label
_atom_site_type_symbol
_atom_site_fract_x
_atom_site_fract_y
_atom_site_fract_z
_atom_site_occupancy
La1 La 0.0000 0.0000 0.0000 1
Th1 Th 0.0000 0.0000 0.7994 1
Hg1 Hg 0.0000 0.0000 0.2305 1
Ir1 Ir 0.0000 0.0000 0.4037 1



Entry 7:
# GGA-PBE LaTiHg2Ir, optimized geometry
# Energy of formation = 1087 meV/atom
data_LaTiHg2Ir
_symmetry_space_group_name_H-M 'P 4/m m m'
_symmetry_Int_Tables_number 123
_symmetry_space_group_name_Hall '-P 4 2'
_cell_length_a 5.875
_cell_length_b 5.875
_cell_length_c 4.974
_cell_angle_alpha 90.00
_cell_angle_beta 90.00
_cell_angle_gamma 90.00
loop_
_atom_site_label
_atom_site_type_symbol
_atom_site_fract_x
_atom_site_fract_y
_atom_site_fract_z
_atom_site_occupancy
La1 La 0.000 0.000 0.000 1
Ti1 Ti 0.500 0.500 0.500 1
Hg1 Hg 0.000 0.500 0.000 1
Ir1 Ir 0.000 0.000 0.500 1



Entry 8:
# GGA-PBE LaTl2HgIr, optimized geometry
# Energy of formation = -241 meV/atom
data_LaTl2HgIr
_symmetry_space_group_name_H-M 'P 4/m m m'
_symmetry_Int_Tables_number 123
_symmetry_space_group_name_Hall '-P 4 2'
_cell_length_a 5.330
_cell_length_b 5.330
_cell_length_c 5.393
_cell_angle_alpha 90.00
_cell_angle_beta 90.00
_cell_angle_gamma 90.00
loop_
_atom_site_label
_atom_site_type_symbol
_atom_site_fract_x
_atom_site_fract_y
_atom_site_fract_z
_atom_site_occupancy
La1 La 0.000 0.000 0.000 1
Tl1 Tl 0.000 0.500 0.500 1
Hg1 Hg 0.500 0.500 0.000 1
Ir1 Ir 0.000 0.000 0.500 1



Entry 9:
# GGA-PBE La2TlHgIr, optimized geometry
# Energy of formation = -391 meV/atom
# Polymorph energy (0 for the lowest one) = 92 meV per atom
data_La2TlHgIr
_symmetry_space_group_name_H-M 'P 4/m m m'
_symmetry_Int_Tables_number 123
_symmetry_space_group_name_Hall '-P 4 2'
_cell_length_a 5.478
_cell_length_b 5.478
_cell_length_c 5.317
_cell_angle_alpha 90.00
_cell_angle_beta 90.00
_cell_angle_gamma 90.00
loop_
_atom_site_label
_atom_site_type_symbol
_atom_site_fract_x
_atom_site_fract_y
_atom_site_fract_z
_atom_site_occupancy
La1 La 0.000 0.500 0.000 1
Tl1 Tl 0.000 0.000 0.500 1
Hg1 Hg 0.500 0.500 0.500 1
Ir1 Ir 0.500 0.500 0.000 1



Entry 10:
# GGA-PBE La2TlHgIr, optimized geometry
# Energy of formation = -483 meV/atom
# Polymorph energy (0 for the lowest one) = 0 meV per atom
data_La2TlHgIr
_symmetry_space_group_name_H-M 'P 1 21/m 1'
_symmetry_Int_Tables_number 11
_symmetry_space_group_name_Hall '-P 2yb'
_cell_length_a 8.619
_cell_length_b 4.219
_cell_length_c 8.779
_cell_angle_alpha 90.00
_cell_angle_beta 101.63
_cell_angle_gamma 90.00
loop_
_atom_site_label
_atom_site_type_symbol
_atom_site_fract_x
_atom_site_fract_y
_atom_site_fract_z
_atom_site_occupancy
La1 La 0.151 0.250 0.374 1
La2 La 0.180 0.250 0.955 1
Tl1 Tl 0.489 0.750 0.331 1
Hg1 Hg 0.250 0.750 0.675 1
Ir1 Ir 0.174 0.750 0.172 1



Entry 11:
# GGA-PBE La2TlHgIr, optimized geometry
# Energy of formation = -382 meV/atom
# Polymorph energy (0 for the lowest one) = 101 meV per atom
data_La2TlHgIr
_symmetry_space_group_name_H-M 'P 4/m m m'
_symmetry_Int_Tables_number 123
_symmetry_space_group_name_Hall '-P 4 2'
_cell_length_a 5.538
_cell_length_b 5.538
_cell_length_c 5.265
_cell_angle_alpha 90.00
_cell_angle_beta 90.00
_cell_angle_gamma 90.00
loop_
_atom_site_label
_atom_site_type_symbol
_atom_site_fract_x
_atom_site_fract_y
_atom_site_fract_z
_atom_site_occupancy
La1 La 0.000 0.500 0.000 1
Tl1 Tl 0.000 0.000 0.500 1
Hg1 Hg 0.500 0.500 0.500 1
Ir1 Ir 0.000 0.000 0.000 1



Entry 12:
# GGA-PBE LaTmHgIr, optimized geometry
# Energy of formation = -552 meV/atom
data_LaTmHgIr
_symmetry_space_group_name_H-M 'F -4 3 m'
_symmetry_Int_Tables_number 216
_symmetry_space_group_name_Hall 'F -4 2 3'
_cell_length_a 7.272
_cell_length_b 7.272
_cell_length_c 7.272
_cell_angle_alpha 90.00
_cell_angle_beta 90.00
_cell_angle_gamma 90.00
loop_
_atom_site_label
_atom_site_type_symbol
_atom_site_fract_x
_atom_site_fract_y
_atom_site_fract_z
_atom_site_occupancy
La1 La 0.000 0.000 0.000 1
Tm1 Tm 0.000 0.000 0.500 1
Hg1 Hg 0.250 0.250 0.750 1
Ir1 Ir 0.250 0.250 0.250 1



Entry 13:
# GGA-PBE LaYHgIr, optimized geometry
# Energy of formation = -602 meV/atom
# Polymorph energy (0 for the lowest one) = 0 meV per atom
data_LaYHgIr
_symmetry_space_group_name_H-M 'R 3 m'
_symmetry_Int_Tables_number 160
_symmetry_space_group_name_Hall 'R 3 -2"'
_cell_length_a 4.1684
_cell_length_b 4.1684
_cell_length_c 22.8663
_cell_angle_alpha 90.00
_cell_angle_beta 90.00
_cell_angle_gamma 120.00
loop_
_atom_site_label
_atom_site_type_symbol
_atom_site_fract_x
_atom_site_fract_y
_atom_site_fract_z
_atom_site_occupancy
La1 La 0.0000 0.0000 0.0000 1
Y1 Y 0.0000 0.0000 0.7983 1
Hg1 Hg 0.0000 0.0000 0.2267 1
Ir1 Ir 0.0000 0.0000 0.3998 1



Entry 14:
# GGA-PBE La2YHgIr, optimized geometry
# Energy of formation = -389 meV/atom
data_La2YHgIr
_symmetry_space_group_name_H-M 'P 4/m m m'
_symmetry_Int_Tables_number 123
_symmetry_space_group_name_Hall '-P 4 2'
_cell_length_a 5.552
_cell_length_b 5.552
_cell_length_c 5.493
_cell_angle_alpha 90.00
_cell_angle_beta 90.00
_cell_angle_gamma 90.00
loop_
_atom_site_label
_atom_site_type_symbol
_atom_site_fract_x
_atom_site_fract_y
_atom_site_fract_z
_atom_site_occupancy
La1 La 0.000 0.500 0.000 1
Y1 Y 0.000 0.000 0.500 1
Hg1 Hg 0.500 0.500 0.500 1
Ir1 Ir 0.000 0.000 0.000 1



Entry 15:
# GGA-PBE LaYHgIr, optimized geometry
# Energy of formation = -543 meV/atom
# Polymorph energy (0 for the lowest one) = 59 meV per atom
data_LaYHgIr
_symmetry_space_group_name_H-M 'F -4 3 m'
_symmetry_Int_Tables_number 216
_symmetry_space_group_name_Hall 'F -4 2 3'
_cell_length_a 7.322
_cell_length_b 7.322
_cell_length_c 7.322
_cell_angle_alpha 90.00
_cell_angle_beta 90.00
_cell_angle_gamma 90.00
loop_
_atom_site_label
_atom_site_type_symbol
_atom_site_fract_x
_atom_site_fract_y
_atom_site_fract_z
_atom_site_occupancy
La1 La 0.000 0.000 0.000 1
Y1 Y 0.000 0.000 0.500 1
Hg1 Hg 0.250 0.250 0.250 1
Ir1 Ir 0.250 0.250 0.750 1



Entry 16:
# GGA-PBE LaZn2HgIr, optimized geometry
# Energy of formation = -286 meV/atom
data_LaZn2HgIr
_symmetry_space_group_name_H-M 'P 4/m m m'
_symmetry_Int_Tables_number 123
_symmetry_space_group_name_Hall '-P 4 2'
_cell_length_a 4.955
_cell_length_b 4.955
_cell_length_c 5.341
_cell_angle_alpha 90.00
_cell_angle_beta 90.00
_cell_angle_gamma 90.00
loop_
_atom_site_label
_atom_site_type_symbol
_atom_site_fract_x
_atom_site_fract_y
_atom_site_fract_z
_atom_site_occupancy
La1 La 0.000 0.000 0.000 1
Zn1 Zn 0.000 0.500 0.500 1
Hg1 Hg 0.500 0.500 0.000 1
Ir1 Ir 0.000 0.000 0.500 1



Entry 17:
# GGA-PBE Li2HgIr, optimized geometry
# Energy of formation = 168 meV/atom
data_Li2HgIr
_symmetry_space_group_name_H-M 'I -4 2 d'
_symmetry_Int_Tables_number 122
_symmetry_space_group_name_Hall 'I -4 2bw'
_cell_length_a 7.011
_cell_length_b 7.011
_cell_length_c 5.367
_cell_angle_alpha 90.00
_cell_angle_beta 90.00
_cell_angle_gamma 90.00
loop_
_atom_site_label
_atom_site_type_symbol
_atom_site_fract_x
_atom_site_fract_y
_atom_site_fract_z
_atom_site_occupancy
Li1 Li 0.239 0.250 0.125 1
Hg1 Hg 0.000 0.000 0.500 1
Ir1 Ir 0.000 0.000 0.000 1



Entry 18:
# GGA-PBE Li2HgIr, optimized geometry
# Energy of formation = -29 meV/atom
data_Li2HgIr
_symmetry_space_group_name_H-M 'P m m 2'
_symmetry_Int_Tables_number 25
_symmetry_space_group_name_Hall 'P 2 -2'
_cell_length_a 2.697
_cell_length_b 4.293
_cell_length_c 5.491
_cell_angle_alpha 90.00
_cell_angle_beta 90.00
_cell_angle_gamma 90.00
loop_
_atom_site_label
_atom_site_type_symbol
_atom_site_fract_x
_atom_site_fract_y
_atom_site_fract_z
_atom_site_occupancy
Li1 Li 0.000 0.000 0.000 1
Li2 Li 0.500 0.500 0.276 1
Hg1 Hg 0.000 0.000 0.509 1
Ir1 Ir 0.500 0.500 0.797 1



Entry 19:
# GGA-PBE Li2HgIr, optimized geometry
# Energy of formation = -38 meV/atom
data_Li2HgIr
_symmetry_space_group_name_H-M 'F -4 3 m'
_symmetry_Int_Tables_number 216
_symmetry_space_group_name_Hall 'F -4 2 3'
_cell_length_a 6.345
_cell_length_b 6.345
_cell_length_c 6.345
_cell_angle_alpha 90.00
_cell_angle_beta 90.00
_cell_angle_gamma 90.00
loop_
_atom_site_label
_atom_site_type_symbol
_atom_site_fract_x
_atom_site_fract_y
_atom_site_fract_z
_atom_site_occupancy
Li1 Li 0.000 0.000 0.000 1
Li2 Li 0.250 0.250 0.250 1
Hg1 Hg 0.000 0.000 0.500 1
Ir1 Ir 0.250 0.250 0.750 1



Entry 20:
# GGA-PBE Li2HgIr, optimized geometry
# Energy of formation = -36 meV/atom
data_Li2HgIr
_symmetry_space_group_name_H-M 'C 1 m 1'
_symmetry_Int_Tables_number 8
_symmetry_space_group_name_Hall 'C -2y'
_cell_length_a 9.460
_cell_length_b 2.714
_cell_length_c 4.938
_cell_angle_alpha 90.00
_cell_angle_beta 96.66
_cell_angle_gamma 90.00
loop_
_atom_site_label
_atom_site_type_symbol
_atom_site_fract_x
_atom_site_fract_y
_atom_site_fract_z
_atom_site_occupancy
Li1 Li 0.000 0.000 0.000 1
Li2 Li 0.235 0.000 0.719 1
Hg1 Hg 0.488 0.000 0.493 1
Ir1 Ir 0.241 0.500 0.202 1